CaPmAlAu | PBE | optimized geometry

Computed properties:
Electronic total energy: -3.956 eV per atom
Calculated density: 6.8 g/cm³
Formation enthalpy at 0 K: -513 meV/atom

CIF file:
```
data_CaPmAlAu
_chemical_formula_sum 'Ca4 Pm4 Al4 Au4'
_cell_length_a 7.3812
_cell_length_b 7.3812
_cell_length_c 7.3812
_cell_angle_alpha 90.00
_cell_angle_beta 90.00
_cell_angle_gamma 90.00
_space_group_name_H-M_alt 'F -4 3 m'
_space_group_IT_number 216
_space_group_name_Hall 'F -4 2 3'
loop_
_atom_site_label
_atom_site_fract_x
_atom_site_fract_y
_atom_site_fract_z
Ca1 0.0000 0.0000 0.0000
Pm1 0.0000 0.0000 0.5000
Al1 0.2500 0.2500 0.7500
Au1 0.2500 0.2500 0.2500
```